The following is a GGA-PBE calculation of La6CdOs after structural relaxation, from Alexandria.

Computed properties:
**Size of the total moment**: 0.00 μB per cell

Lattice parameters (Å, degrees): 8.524 10.340 6.684 90.00 106.71 90.00
Space group C2/m (No. 12)
One atom of each set of equivalent atoms:
La 0.103 0.193 0.295 (multiplicity 8)
La 0.204 0.500 0.094 (multiplicity 4)
Cd 0.000 0.500 0.500 (multiplicity 2)
Os 0.000 0.000 0.000 (multiplicity 2)



The following is a GGA-PBE calculation of La8CdOs2 after structural relaxation, from Alexandria.

Computed properties:
**Size of the total moment**: 0.00 μB per cell

Lattice parameters (Å, degrees): 8.829 14.224 5.749 90.00 102.15 90.00
Space group Cm (No. 8)
One atom of each set of equivalent atoms:
La 0.000 0.000 0.000 (multiplicity 2)
La 0.095 0.247 0.790 (multiplicity 4)
La 0.189 0.000 0.579 (multiplicity 2)
La 0.300 0.372 0.341 (multiplicity 4)
La 0.389 0.128 0.238 (multiplicity 4)
Cd 0.094 0.500 0.790 (multiplicity 2)
Os 0.094 0.203 0.290 (multiplicity 4)



The following is a GGA-PBE calculation of La6CdOs after structural relaxation, from Alexandria.

Computed properties:
**Size of the total moment**: 0.00 μB per cell

Lattice parameters (Å, degrees): 13.958 10.459 10.787 90.00 128.01 90.00
Space group C2/m (No. 12)
One atom of each set of equivalent atoms:
La 0.037 0.179 0.209 (multiplicity 8)
La 0.114 0.500 0.413 (multiplicity 4)
La 0.162 0.173 0.655 (multiplicity 8)
La 0.245 0.000 0.170 (multiplicity 4)
Cd 0.250 0.250 0.000 (multiplicity 4)
Os 0.250 0.250 0.500 (multiplicity 4)



For the records above, the corresponding formation enthalpy at 0 K values read -47 -106 96 meV per atom.
For the records above, the corresponding Fermi-level density of states values read 1.486 1.178 1.394 states/eV per atom.
For the records above, the corresponding energy above the lowest structure with this stoichiometry values read 0.000 0.018 0.143 eV per atom.